## Pr4Nd8Sm3 (PBE)

Data for crystalline Pr4Nd8Sm3 at its relaxed geometry.

Lattice parameters (Å, degrees): 12.876 12.876 12.876 32.16 32.16 32.16
Atoms (fractional coordinates):
Pr 0.000 0.000 0.000
Pr 0.164 0.164 0.164
Pr 0.500 0.500 0.500
Pr 0.836 0.836 0.836
Nd 0.250 0.250 0.747
Nd 0.250 0.747 0.250
Nd 0.253 0.750 0.750
Nd 0.254 0.254 0.254
Nd 0.746 0.746 0.746
Nd 0.747 0.250 0.250
Nd 0.750 0.253 0.750
Nd 0.750 0.750 0.253
Sm 0.000 0.500 0.500
Sm 0.500 0.000 0.500
Sm 0.500 0.500 0.000

Calculated values
- total DFT energy (no corrections) (eV/atom) = -4.6458
- total magnetic moment (μB/cell) = 0.0
- distance to the lowest polymorph of the same formula (meV/atom) = 0
- crystal system = trigonal